## CaCoTe2 (GGA-PBEsol)

Data for crystalline CaCoTe2 at its relaxed geometry.

Cell lengths 4.051, 4.284, 6.544 Å; angles 109.11, 90.00, 90.00 degrees
Last column: magnetic moment on the atom in μB.
Sites, in units of the cell vectors:
Ca (0.000, 0.925, 0.851)  0.01
Te (0.000, 0.225, 0.449)  0.05
Te (0.500, 0.523, 0.047)  0.04
Co (0.500, 0.329, 0.658)  1.01

Output
E_form (uncorrected): -0.46 eV per atom
space-group type: Amm2
DOS(E_F): 4.343 states/eV per cell
energy: -18.77 eV/cell